Record 1
# KP2W

Crystalline KP2W at its relaxed geometry (PBE, Alexandria via LeMat-Bulk).

Lattice parameters (Å, degrees): 8.1400 8.1400 8.1400 157.86 155.81 33.02
Last column: nearest neighbours and their distance in Å.
Element x y z (fractional)
1 K 0.0000 0.0000 0.0000  4 K 3.13-3.41, 6 P 3.19-3.25
2 P 0.3229 0.8229 0.5000  4 W 2.54
3 P 0.6410 0.6410 0.0000  2 W 2.38
4 W 0.7563 0.2563 0.5000  6 P 2.38-2.54

Computed properties:
Calculated formation energy in eV per atom: -0.130
D(E_F) in states/eV per cell: 1.7
Relative energy among the computed polymorphs in meV per atom: 73
Calculated density in Mg/m³: 5.69


Record 2
# Te2MoH

Crystalline Te2MoH at its relaxed geometry (PBE, Alexandria via LeMat-Bulk).

Lattice parameters (Å, degrees): 7.2549 7.2549 7.2549 33.31 33.31 33.31
Last column: nearest neighbours and their distance in Å.
Element x y z (fractional)
1 Te 0.0959 0.0959 0.0959  1 H 1.97
2 Te 0.9041 0.9041 0.9041  1 H 1.97
3 Mo 0.5000 0.5000 0.5000  6 Te 2.81
4 H 0.0000 0.0000 0.0000  2 Te 1.97

Computed properties:
D(E_F) in states/eV per cell: 2.0
Relative energy among the computed polymorphs in meV per atom: 301
Calculated density in Mg/m³: 5.70


Record 3
# SrSnAu2

Crystalline SrSnAu2 at its relaxed geometry (PBE, Alexandria via LeMat-Bulk).

Lattice parameters (Å, degrees): 4.9798 4.9798 3.9748 90.00 90.00 90.00
Last column: nearest neighbours and their distance in Å.
Element x y z (fractional)
1 Sr 0.0000 0.0000 0.0000  8 Au 3.19, 4 Sn 3.52
2 Sn 0.5000 0.5000 0.0000  8 Au 3.19, 4 Sr 3.52
3 Au 0.0000 0.5000 0.5000  4 Sn 3.19, 4 Sr 3.19, 4 Au 3.52
4 Au 0.5000 0.0000 0.5000  4 Sn 3.19, 4 Sr 3.19, 4 Au 3.52

Computed properties:
Calculated formation energy in eV per atom: -0.469
D(E_F) in states/eV per cell: 2.2
Calculated density in Mg/m³: 10.11


Record 4
# Al2Ga2Ag5

Crystalline Al2Ga2Ag5 at its relaxed geometry (PBE, Alexandria via LeMat-Bulk).

Lattice parameters (Å, degrees): 7.2934 7.2934 7.6215 104.34 104.34 23.80
Last column: nearest neighbours and their distance in Å.
Element x y z (fractional)
1 Al 0.0115 0.0115 0.1869  7 Ag 2.77-2.90, 3 Al 2.78-3.01, 2 Ga 2.87
2 Al 0.9885 0.9885 0.8131  7 Ag 2.77-2.90, 3 Al 2.78-3.01, 2 Ga 2.87
3 Ga 0.3289 0.3289 0.5990  5 Ag 2.73-2.87, 4 Ga 2.81-3.01, 2 Al 2.87
4 Ga 0.6711 0.6711 0.4010  5 Ag 2.73-2.87, 4 Ga 2.81-3.01, 2 Al 2.87
5 Ag 0.1630 0.1630 0.7170  3 Ga 2.74-2.87, 1 Al 2.77, 7 Ag 2.91-3.01
6 Ag 0.3547 0.3547 0.9666  1 Ga 2.73, 4 Al 2.86-2.90, 5 Ag 2.91-3.01
7 Ag 0.5000 0.5000 0.5000  2 Ga 2.73, 4 Al 2.86, 6 Ag 2.91-3.01
8 Ag 0.6453 0.6453 0.0334  1 Ga 2.73, 4 Al 2.86-2.90, 5 Ag 2.91-3.01
9 Ag 0.8370 0.8370 0.2830  3 Ga 2.74-2.87, 1 Al 2.77, 7 Ag 2.91-3.01

Computed properties:
Calculated formation energy in eV per atom: 0.018
D(E_F) in states/eV per cell: 3.5
Relative energy among the computed polymorphs in meV per atom: 0
Calculated density in Mg/m³: 7.69